HoCo3Ni2 after structural relaxation, computed with PBE.

Structure (POSCAR):
```
HoCo3Ni2
1.0
4.8482 0.0000 0.0000
-2.4241 4.1987 0.0000
0.0000 0.0000 4.0187
Co Ni Ho
3 2 1
direct
0.5000 0.5000 0.5000 Co
0.0000 0.5000 0.5000 Co
0.5000 0.0000 0.5000 Co
0.3333 0.6667 0.0000 Ni
0.6667 0.3333 0.0000 Ni
0.0000 0.0000 0.0000 Ho
```

Summary:
Space group   No. 191
Electronic total energy   -6.444 eV/atom
Energy of formation   -201 meV per atom
N(E_F)   7.46 states/eV per cell



TaW2Au after structural relaxation, computed with PBE.

Structure (POSCAR):
```
TaW2Au
1.0
-8.8648 2.4887 3.9995
-9.8114 1.4698 1.5326
-9.3278 -0.2889 3.6989
W Au Ta
2 1 1
direct
0.2498 0.2498 0.2498 W
0.9986 0.9986 0.9986 W
0.5009 0.5009 0.5009 Au
0.7507 0.7507 0.7507 Ta
```

Summary:
Space group   No. 160
Electronic total energy   -9.898 eV/atom
ΔE to the lowest computed polymorph   264 meV per atom
Energy of formation   362 meV per atom
N(E_F)   4.72 states/eV per cell



YAg2Br after structural relaxation, computed with PBE.

Structure (POSCAR):
```
YAg2Br
1.0
4.0943 0.0000 0.0000
0.0000 4.0943 0.0000
0.0000 0.0000 5.4959
Br Y Ag
1 1 2
direct
0.5000 0.0000 0.5000 Br
0.0000 0.5000 0.5000 Y
0.5000 0.5000 0.0000 Ag
0.0000 0.0000 0.0000 Ag
```

Summary:
Space group   No. 123
Electronic total energy   -3.785 eV/atom
ΔE to the lowest computed polymorph   134 meV per atom
N(E_F)   1.84 states/eV per cell



BSeF after structural relaxation, computed with PBE.

Structure (POSCAR):
```
BSeF
1.0
5.7214 0.0000 -0.0449
0.0000 3.2943 0.0000
-0.7192 0.0000 12.7084
B F Se
4 4 4
direct
0.5467 0.5000 0.6676 B
0.5467 0.0000 0.1676 B
0.4533 0.0000 0.8324 B
0.4533 0.5000 0.3324 B
0.7024 0.0000 0.0921 F
0.2976 0.0000 0.9079 F
0.2976 0.5000 0.4079 F
0.7024 0.5000 0.5921 F
0.6851 0.0000 0.3291 Se
0.6851 0.5000 0.8291 Se
0.3149 0.0000 0.6709 Se
0.3149 0.5000 0.1709 Se
```

Summary:
Space group   No. 12
Electronic total energy   -5.277 eV/atom
ΔE to the lowest computed polymorph   38 meV per atom
N(E_F)   0.00 states/eV per cell



CsBa2CaCd after structural relaxation, computed with PBE.

Structure (POSCAR):
```
CsBa2CaCd
1.0
6.8825 0.0000 0.0000
0.0000 6.8825 0.0000
0.0000 0.0000 6.3724
Ca Ba Cd Cs
1 2 1 1
direct
0.0000 0.0000 0.5000 Ca
0.0000 0.5000 0.0000 Ba
0.5000 0.0000 0.0000 Ba
0.0000 0.0000 0.0000 Cd
0.5000 0.5000 0.5000 Cs
```

Summary:
Space group   No. 123
Electronic total energy   -1.501 eV/atom
Energy of formation   22 meV per atom
N(E_F)   6.93 states/eV per cell



PtRh2Au after structural relaxation, computed with PBE.

Structure (POSCAR):
```
PtRh2Au
1.0
2.8072 0.0000 0.0000
0.0000 3.8483 0.0000
0.0000 0.0000 5.7416
Pt Au Rh
1 1 2
direct
0.5000 0.5000 0.5000 Pt
0.5000 0.5000 0.0000 Au
0.0000 0.0000 0.2626 Rh
0.0000 0.0000 0.7374 Rh
```

Summary:
Space group   No. 47
Electronic total energy   -5.894 eV/atom
ΔE to the lowest computed polymorph   53 meV per atom
Energy of formation   111 meV per atom
N(E_F)   6.14 states/eV per cell



TlGeBiS3 after structural relaxation, computed with PBE.

Structure (POSCAR):
```
TlGeBiS3
1.0
3.9061 0.0000 0.0000
0.0000 10.3592 0.9756
0.0000 -3.4785 8.3915
S Ge Tl Bi
6 2 2 2
direct
0.2500 0.7451 0.5033 S
0.7500 0.2549 0.4967 S
0.7500 0.4260 0.1453 S
0.7500 0.8322 0.1991 S
0.2500 0.1678 0.8009 S
0.2500 0.5740 0.8547 S
0.7500 0.8899 0.4745 Ge
0.2500 0.1101 0.5255 Ge
0.7500 0.7805 0.8134 Tl
0.2500 0.2195 0.1866 Tl
0.2500 0.6349 0.1744 Bi
0.7500 0.3651 0.8256 Bi
```

Summary:
Space group   No. 11
Electronic total energy   -4.203 eV/atom



Ac2UP3Ir4 after structural relaxation, computed with PBE.

Structure (POSCAR):
```
Ac2UP3Ir4
1.0
4.1510 0.0000 0.0000
0.0000 4.1510 0.0000
0.0000 0.0000 11.3014
Ir U P Ac
4 1 3 2
direct
0.0000 0.5000 0.3359 Ir
0.0000 0.0000 0.0000 Ir
0.5000 0.0000 0.6641 Ir
0.5000 0.5000 0.0000 Ir
0.5000 0.5000 0.5000 U
0.0000 0.5000 0.1205 P
0.0000 0.0000 0.5000 P
0.5000 0.0000 0.8795 P
0.5000 0.0000 0.2331 Ac
0.0000 0.5000 0.7669 Ac
```

Summary:
Space group   No. 115
Electronic total energy   -7.875 eV/atom
Energy of formation   -757 meV per atom
N(E_F)   10.37 states/eV per cell



YPNO2 after structural relaxation, computed with PBE.

Structure (POSCAR):
```
YPNO2
1.0
-2.4024 0.1487 -3.5979
0.6722 -4.2306 -0.6237
-3.7897 -0.9693 2.4905
Y O N P
1 2 1 1
direct
0.0000 0.0000 0.0000 Y
0.5000 0.0000 0.0000 O
0.0000 0.5000 0.0000 O
0.0000 0.0000 0.5000 N
0.5000 0.5000 0.5000 P
```

Summary:
Space group   No. 123
Electronic total energy   -5.899 eV/atom
N(E_F)   4.19 states/eV per cell



AlTlW after structural relaxation, computed with PBE.

Structure (POSCAR):
```
AlTlW
1.0
-2.2144 -6.9715 0.6475
-1.9696 -6.5633 -2.2360
2.4355 -1.4640 0.6826
Al Tl W
1 1 1
direct
0.9828 0.9828 0.0172 Al
0.6696 0.6696 0.3304 Tl
0.3475 0.3475 0.6525 W
```

Summary:
Space group   No. 42
Electronic total energy   -5.700 eV/atom
ΔE to the lowest computed polymorph   80 meV per atom
Energy of formation   654 meV per atom
N(E_F)   2.62 states/eV per cell



YPdSe2 after structural relaxation, computed with PBE.

Structure (POSCAR):
```
YPdSe2
1.0
-4.8405 6.7243 0.3189
-2.5873 6.8982 3.8038
-0.9714 8.2315 0.2173
Se Y Pd
2 1 1
direct
0.1015 0.1015 0.1015 Se
0.8985 0.8985 0.8985 Se
0.5000 0.5000 0.5000 Y
0.0000 0.0000 0.0000 Pd
```

Summary:
Space group   No. 166
Electronic total energy   -5.554 eV/atom
N(E_F)   3.62 states/eV per cell



SmGa2Pd7 after structural relaxation, computed with PBE.

Structure (POSCAR):
```
SmGa2Pd7
1.0
-1.5175 -0.6530 3.7978
-3.4562 -1.5746 -1.6517
6.6463 -8.0978 -0.9949
Pd Ga Sm
7 2 1
direct
0.8958 0.3958 0.7917 Pd
0.1042 0.6042 0.2083 Pd
0.2500 0.7500 0.5000 Pd
0.3958 0.8958 0.7917 Pd
0.5000 0.5000 0.0000 Pd
0.6042 0.1042 0.2083 Pd
0.7500 0.2500 0.5000 Pd
0.3236 0.3236 0.6472 Ga
0.6764 0.6764 0.3528 Ga
0.0000 0.0000 0.0000 Sm
```

Summary:
Space group   No. 139
Electronic total energy   -5.350 eV/atom
ΔE to the lowest computed polymorph   0 meV per atom
Energy of formation   -637 meV per atom
N(E_F)   2.03 states/eV per cell



Nd3SmPt after structural relaxation, computed with PBE.

Structure (POSCAR):
```
Nd3SmPt
1.0
-1.3067 3.1778 1.7859
-4.5745 -1.9074 4.2452
8.1621 0.0423 10.0951
Pt Nd Sm
2 6 2
direct
0.4415 0.3373 0.7797 Pt
0.7665 0.3364 0.1306 Pt
0.9895 0.1066 0.9145 Nd
0.7636 0.7170 0.7557 Nd
0.7842 0.0439 0.3877 Nd
0.4502 0.9463 0.1533 Nd
0.1023 0.1707 0.6248 Nd
0.4289 0.6240 0.5182 Nd
0.2231 0.5575 0.9963 Sm
0.1109 0.4973 0.2809 Sm
```

Summary:
Space group   No. 8
Electronic total energy   -5.489 eV/atom
ΔE to the lowest computed polymorph   0 meV per atom
Energy of formation   -476 meV per atom
N(E_F)   12.30 states/eV per cell



Na8In2Sn after structural relaxation, computed with PBE.

Structure (POSCAR):
```
Na8In2Sn
1.0
-0.1218 -5.3142 0.3496
3.4847 -0.5610 -7.2924
6.2402 0.1952 5.1633
Na Sn In
8 1 2
direct
0.5002 0.6743 0.6743 Na
0.0003 0.7079 0.9662 Na
0.4998 0.3257 0.3257 Na
0.9997 0.2921 0.0338 Na
0.5000 0.7521 0.2479 Na
0.9997 0.0338 0.2921 Na
0.0003 0.9662 0.7079 Na
0.5000 0.2479 0.7521 Na
0.5000 0.0000 0.0000 Sn
0.0000 0.6126 0.3875 In
0.0000 0.3874 0.6125 In
```

Summary:
Space group   No. 65
Electronic total energy   -1.911 eV/atom
ΔE to the lowest computed polymorph   0 meV per atom
Energy of formation   -90 meV per atom
N(E_F)   6.43 states/eV per cell



CsCa2TaGa after structural relaxation, computed with PBE.

Structure (POSCAR):
```
CsCa2TaGa
1.0
-5.7837 1.5437 0.3885
-1.0463 -2.8388 -4.2965
-1.0523 -4.8063 3.4319
Ca Ta Ga Cs
2 1 1 1
direct
0.0000 0.0000 0.5000 Ca
0.5000 0.0000 0.0000 Ca
0.0000 0.0000 0.0000 Ta
0.0000 0.5000 0.0000 Ga
0.5000 0.5000 0.5000 Cs
```

Summary:
Space group   No. 123
Electronic total energy   -3.261 eV/atom
Energy of formation   686 meV per atom
N(E_F)   4.70 states/eV per cell



NaLi2Ag2Ge2 after structural relaxation, computed with PBE.

Structure (POSCAR):
```
NaLi2Ag2Ge2
1.0
-1.1548 -2.9178 3.3110
4.2041 -0.0602 -1.7293
-0.2826 5.8781 5.0814
Ag Li Na Ge
2 2 1 2
direct
0.2551 0.5102 0.7607 Ag
0.7449 0.4898 0.2393 Ag
0.8666 0.7332 0.5952 Li
0.1334 0.2668 0.4048 Li
0.0000 0.0000 0.0000 Na
0.4369 0.8738 0.3165 Ge
0.5631 0.1262 0.6835 Ge
```

Summary:
Space group   No. 12
Electronic total energy   -3.067 eV/atom
Energy of formation   -198 meV per atom
N(E_F)   1.59 states/eV per cell



AcLa6Nd4 after structural relaxation, computed with PBE.

Structure (POSCAR):
```
AcLa6Nd4
1.0
7.9656 0.0000 0.0000
0.0000 7.9656 0.0000
-3.9828 -3.9828 6.7435
Nd La Ac
4 6 1
direct
0.2443 0.2443 0.1547 Nd
0.0896 0.7557 0.8453 Nd
0.9104 0.9104 0.1547 Nd
0.7557 0.0896 0.8453 Nd
0.0633 0.0633 0.6103 La
0.4531 0.9367 0.3897 La
0.5000 0.0000 0.0000 La
0.9367 0.4531 0.3897 La
0.0000 0.5000 0.0000 La
0.5469 0.5469 0.6103 La
0.5000 0.5000 0.0000 Ac
```

Summary:
Space group   No. 121
Electronic total energy   -4.512 eV/atom
ΔE to the lowest computed polymorph   90 meV per atom
Energy of formation   283 meV per atom
N(E_F)   15.25 states/eV per cell



Ce3ScAg3S8 after structural relaxation, computed with PBE.

Structure (POSCAR):
```
Ce3ScAg3S8
1.0
8.1724 0.0000 0.0000
-4.0862 7.0734 -0.0313
0.0000 -4.7041 6.0428
S Ce Ag Sc
8 3 3 1
direct
0.7638 0.9993 0.7340 S
0.7645 0.5291 0.2662 S
0.2362 0.0007 0.2660 S
0.7497 0.4994 0.7482 S
0.2355 0.9993 0.7340 S
0.2503 0.5006 0.2518 S
0.2355 0.4709 0.7338 S
0.7645 0.0007 0.2660 S
0.5000 0.0000 0.5000 Ce
0.0000 0.5000 0.5000 Ce
0.5000 0.5000 0.5000 Ce
0.0000 0.5000 0.0000 Ag
0.5000 0.5000 0.0000 Ag
0.0000 0.0000 0.0000 Ag
0.0000 0.0000 0.5000 Sc
```

Summary:
Space group   No. 12
Electronic total energy   -5.706 eV/atom
N(E_F)   14.85 states/eV per cell



NiSnRu2N after structural relaxation, computed with PBE.

Structure (POSCAR):
```
NiSnRu2N
1.0
4.1120 0.0000 0.0000
0.0000 4.1120 0.0000
0.0000 0.0000 3.9102
Ru Ni Sn N
2 1 1 1
direct
0.5000 0.0000 0.0000 Ru
0.0000 0.5000 0.0000 Ru
0.0000 0.0000 0.5000 Ni
0.5000 0.5000 0.5000 Sn
0.0000 0.0000 0.0000 N
```

Summary:
Space group   No. 123
Electronic total energy   -7.205 eV/atom
N(E_F)   5.20 states/eV per cell



B2C3 after structural relaxation, computed with PBE.

Structure (POSCAR):
```
B2C3
1.0
11.3248 -1.2859 0.0565
11.3248 1.2859 0.0565
11.1677 0.0000 2.2782
C B
6 4
direct
0.8519 0.8519 0.8519 C
0.5996 0.5996 0.5996 C
0.6470 0.6470 0.6470 C
0.2529 0.2529 0.2529 C
0.4500 0.4500 0.4500 C
0.9947 0.9947 0.9947 C
0.0417 0.0417 0.0417 B
0.2035 0.2035 0.2035 B
0.8041 0.8041 0.8041 B
0.4046 0.4046 0.4046 B
```

Summary:
Space group   No. 160
Electronic total energy   -7.841 eV/atom
ΔE to the lowest computed polymorph   128 meV per atom
Energy of formation   364 meV per atom
N(E_F)   1.69 states/eV per cell